# TlIn4Sn2Pb (PBE-GGA, optimized geometry)
# ΔE_f, kJ/mol of formula units: 78
data_TlIn4Sn2Pb
_chemical_formula_sum 'Tl4 In16 Sn8 Pb4'
_space_group_name_H-M_alt 'I m m a'
_space_group_IT_number 74
_space_group_name_Hall '-I 2b 2'
_cell_length_a 8.716
_cell_length_b 8.918
_cell_length_c 12.506
_cell_angle_alpha 90.00
_cell_angle_beta 90.00
_cell_angle_gamma 90.00
loop_
_atom_site_label
_atom_site_fract_x
_atom_site_fract_y
_atom_site_fract_z
Tl1 0.000 0.000 0.000
In1 0.000 0.013 0.260
In2 0.231 0.250 0.493
Sn1 0.000 0.000 0.500
Sn2 0.250 0.250 0.250
Pb1 0.250 0.250 0.750

---

# Tl2In2SnPb2 (PBE-GGA, optimized geometry)
# ΔE_f, kJ/mol of formula units: 25
data_Tl2In2SnPb2
_chemical_formula_sum 'Tl4 In4 Sn2 Pb4'
_space_group_name_H-M_alt 'C 1 2/m 1'
_space_group_IT_number 12
_space_group_name_Hall '-C 2y'
_cell_length_a 9.213
_cell_length_b 5.787
_cell_length_c 8.801
_cell_angle_alpha 90.00
_cell_angle_beta 117.16
_cell_angle_gamma 90.00
loop_
_atom_site_label
_atom_site_fract_x
_atom_site_fract_y
_atom_site_fract_z
Tl1 0.141 0.000 0.422
In1 0.074 0.500 0.715
Sn1 0.000 0.000 0.000
Pb1 0.211 0.500 0.135

---

# Tl2InSnPb5 (PBE-GGA, optimized geometry)
# ΔE_f, kJ/mol of formula units: 120
data_Tl2InSnPb5
_chemical_formula_sum 'Tl8 In4 Sn4 Pb20'
_space_group_name_H-M_alt 'I 4/m c m'
_space_group_IT_number 140
_space_group_name_Hall '-I 4 2c'
_cell_length_a 7.940
_cell_length_b 7.940
_cell_length_c 18.534
_cell_angle_alpha 90.00
_cell_angle_beta 90.00
_cell_angle_gamma 90.00
loop_
_atom_site_label
_atom_site_fract_x
_atom_site_fract_y
_atom_site_fract_z
Tl1 0.131 0.369 0.000
In1 0.000 0.500 0.250
Sn1 0.000 0.000 0.250
Pb1 0.000 0.000 0.000
Pb2 0.236 0.264 0.346

---

# Tl2In2SnPb4 (PBE-GGA, optimized geometry)
# ΔE_f, kJ/mol of formula units: 51
data_Tl2In2SnPb4
_chemical_formula_sum 'Tl2 In2 Sn1 Pb4'
_space_group_name_H-M_alt 'P -1'
_space_group_IT_number 2
_space_group_name_Hall '-P 1'
_cell_length_a 6.227
_cell_length_b 6.911
_cell_length_c 7.410
_cell_angle_alpha 90.25
_cell_angle_beta 106.77
_cell_angle_gamma 111.81
loop_
_atom_site_label
_atom_site_fract_x
_atom_site_fract_y
_atom_site_fract_z
Tl1 0.029 0.294 0.150
In1 0.019 0.856 0.334
Sn1 0.500 0.500 0.000
Pb1 0.326 0.600 0.572
Pb2 0.498 0.911 0.216

---

> The lowest ΔE_f belongs to which entry?

Tl2In2SnPb2

---

> Look up the ΔE_f of the second one.

25 kJ/mol of formula units

---

> Which of these has the lowest ΔE_f?

Tl2In2SnPb2

---

> Among the records above, which one has the lowest ΔE_f?

Tl2In2SnPb2